First-principles (PBE) data for crystalline La6Y2ErSc at its relaxed geometry, as listed in Alexandria via LeMat-Bulk.

a = 6.761 Å, b = 6.761 Å, c = 8.881 Å
α = 104.21°, β = 104.21°, γ = 63.50°
Positions (direct):
La (0.101, 0.551, 0.207)
La (0.135, 0.135, 0.427)
La (0.449, 0.899, 0.793)
La (0.551, 0.101, 0.207)
La (0.865, 0.865, 0.573)
La (0.899, 0.449, 0.793)
Y (0.410, 0.410, 0.821)
Y (0.590, 0.590, 0.179)
Er (0.000, 0.000, 0.000)
Sc (0.500, 0.500, 0.500)

Summary:
As for the space-group type: C2/m (12). The formation energy comes out at 1.88 eV/f.u. For the uncorrected energy, the calculation gives -5.15 eV/atom.